No. 1
A plane-wave DFT calculation with PBE was carried out for a geometry-optimized KMgTa2 structure.

a = 3.469 Å, b = 3.456 Å, c = 8.989 Å
α = 90.00°, β = 90.07°, γ = 90.00°
Space group Pm (No. 6)
Asymmetric unit:
K 0.000 0.000 0.000 x1
Mg 0.497 0.500 0.342 x1
Ta 0.499 0.500 0.674 x1
Ta 0.998 0.000 0.540 x1

## Properties
- V: 26.94 Å³/atom

---

No. 2
A plane-wave DFT calculation with PBE was carried out for a geometry-optimized KMgTa2 structure.

a = 3.429 Å, b = 4.902 Å, c = 11.169 Å
α = 90.00°, β = 90.00°, γ = 90.00°
Space group Cmm2 (No. 35)
Asymmetric unit:
K 0.000 0.000 0.000 x2
Mg 0.000 0.500 0.299 x2
Ta 0.000 0.000 0.520 x2
Ta 0.000 0.500 0.709 x2

## Properties
- V: 23.47 Å³/atom

---

No. 3
A plane-wave DFT calculation with PBE was carried out for a geometry-optimized K2MgTaTl structure.

a = 6.531 Å, b = 6.531 Å, c = 5.466 Å
α = 90.00°, β = 90.00°, γ = 90.00°
Space group P4/mmm (No. 123)
Asymmetric unit:
K 0.000 0.500 0.000 x2
Mg 0.000 0.000 0.500 x1
Ta 0.500 0.500 0.500 x1
Tl 0.500 0.500 0.000 x1

## Properties
- V: 46.62 Å³/atom

---

| no. | electronic total energy (eV per atom) | calculated formation energy (eV/f.u.) |
| --- | --- | --- |
| 1 | -6.00 | 2.41 |
| 2 | -6.08 | 2.08 |
| 3 | -2.44 | 5.79 |